SbPtAu | GGA-PBE | optimized geometry

Values from the calculation:
The calculation puts the density at 14.2 g cm⁻³. As for the calculated volume: 20.10 Å³/atom. The value obtained for the energy relative to the elements, uncorrected is -190.9 meV/atom.

abc: 3.843 5.539 6.350
angles: 109.74 107.37 90.22
Sites, in units of the cell vectors:
Sb (0.194, 0.194, 0.388)
Sb (0.806, 0.806, 0.612)
Pt (0.138, 0.669, 0.274)
Pt (0.862, 0.331, 0.726)
Au (0.477, 0.738, 0.952)
Au (0.523, 0.262, 0.048)